VCr2Cd | PBE | optimized geometry

Cell and atoms, written as extended XYZ:
```
8
Lattice="-2.9768 -2.2802 -0.0850 2.1551 -2.8555 1.1267 -2.2066 -0.5427 9.0887" Properties=species:S:1:pos:R:3 pbc="T T T"
Cd 0.0000 0.0000 0.0000
Cd -2.7971 -2.6954 4.7623
Cr 0.1960 -2.3794 2.9592
Cr -1.9156 -1.7437 2.3664
Cr -1.7986 -2.5508 7.2932
Cr -2.5384 -4.6828 7.6421
V -0.4108 -2.5679 0.5208
V -0.2312 -2.9830 5.3681
```

**Energy of formation from the pure elements**: 978.3 meV/atom
**ρ**: 7.024 g cm⁻³
**Magnetization**: 0.000 μB per atom
**Calculated volume**: 15.8 Å³/atom